# 1
Density functional theory data (PBE-GGA) for crystalline CaLaSe2 at its relaxed geometry.

Formation energy (no corrections) = -1576 meV per atom
DFT total energy = -5.050 eV per atom
Total magnetic moment = 0.99 μB per formula unit
V = 37.52 Å³/atom

Structure (POSCAR):
```
CaLaSe2
1.0
6.695 0.000 0.000
0.000 6.695 0.000
0.000 0.000 13.394
Ca La Se
4 4 8
Cartesian
0.000 0.000 0.000
0.000 3.347 3.349
3.347 0.000 10.046
3.347 3.347 6.697
0.000 0.000 6.697
0.000 3.347 10.046
3.347 0.000 3.349
3.347 3.347 0.000
1.613 1.674 1.674
1.674 4.960 5.023
1.674 5.082 11.720
1.734 1.674 8.371
4.960 5.021 8.371
5.021 1.613 11.720
5.021 1.734 5.023
5.082 5.021 1.674
```

***

# 2
Density functional theory data (PBE-GGA) for crystalline CaLaSe2 at its relaxed geometry.

Formation energy (no corrections) = -1657 meV per atom
DFT total energy = -5.132 eV per atom
Total magnetic moment = 0.00 μB per formula unit
V = 24.94 Å³/atom

Structure (POSCAR):
```
CaLaSe2
1.0
7.362 0.000 0.000
0.000 7.362 0.000
0.000 0.000 7.362
Ca La Se
4 4 8
Cartesian
0.000 0.000 0.000
0.000 3.681 3.681
3.681 0.000 3.681
3.681 3.681 0.000
0.000 0.000 3.681
0.000 3.681 0.000
3.681 0.000 0.000
3.681 3.681 3.681
1.841 1.841 1.841
1.841 1.841 5.522
1.841 5.522 1.841
1.841 5.522 5.522
5.522 1.841 1.841
5.522 1.841 5.522
5.522 5.522 1.841
5.522 5.522 5.522
```

***

# 3
Density functional theory data (PBE-GGA) for crystalline CaLaSe2 at its relaxed geometry.

Formation energy (no corrections) = -1915 meV per atom
DFT total energy = -5.389 eV per atom
Total magnetic moment = 0.00 μB per formula unit
V = 27.70 Å³/atom

Structure (POSCAR):
```
CaLaSe2
1.0
4.201 0.000 0.000
-2.101 3.639 0.000
0.000 0.000 14.497
Ca La Se
2 2 4
Cartesian
0.000 2.426 3.624
2.101 1.213 10.873
0.000 0.000 0.000
0.000 0.000 7.249
0.000 2.426 9.088
0.000 2.426 12.658
2.101 1.213 1.840
2.101 1.213 5.409
```

***

# 4
Density functional theory data (PBE-GGA) for crystalline CaLaSe at its relaxed geometry.

Formation energy (no corrections) = -1160 meV per atom
DFT total energy = -4.632 eV per atom
Total magnetic moment = 0.97 μB per formula unit
V = 33.71 Å³/atom

Structure (POSCAR):
```
CaLaSe
1.0
4.064 0.000 0.000
-2.032 3.519 0.000
0.000 0.000 7.071
Ca La Se
1 1 1
Cartesian
0.000 0.000 0.000
2.032 1.173 3.358
0.000 2.346 5.279
```

***

# 5
Density functional theory data (PBE-GGA) for crystalline CaLa8Se12 at its relaxed geometry.

Formation energy (no corrections) = -2025 meV per atom
DFT total energy = -5.988 eV per atom
Total magnetic moment = 0.00 μB per formula unit
V = 26.80 Å³/atom

Structure (POSCAR):
```
CaLa8Se12
1.0
6.427 -6.429 0.000
6.427 6.429 0.000
-6.425 0.000 13.618
Ca La Se
2 16 24
Cartesian
3.215 4.012 6.809
6.427 -4.012 0.000
4.828 5.640 2.273
0.793 4.861 12.497
0.036 2.434 9.076
3.988 1.631 1.127
1.637 0.830 4.546
-1.576 -0.830 11.355
0.775 -1.631 7.936
6.423 2.418 4.550
3.248 -2.434 2.267
4.017 1.611 10.220
8.041 0.803 0.010
4.829 -0.803 6.819
7.230 -1.611 3.411
3.211 -2.418 11.359
1.615 -5.640 9.082
4.005 -4.861 5.688
-3.977 0.948 12.025
3.390 3.248 3.875
-1.745 0.033 8.420
1.468 -0.033 1.611
-0.787 2.267 12.030
-0.765 -0.948 5.216
2.449 4.188 9.730
6.575 3.207 1.589
2.400 0.929 7.510
3.348 3.241 12.932
4.656 0.002 3.874
1.444 -0.002 10.683
5.612 -0.929 0.701
5.595 2.246 7.479
2.426 -2.267 5.221
0.177 -3.248 10.684
8.841 0.977 2.970
3.362 -3.207 8.398
4.657 0.042 12.954
7.870 -0.042 6.145
5.662 -4.188 2.921
5.628 -0.977 9.779
8.807 -2.246 0.670
6.560 -3.241 6.123
```

***

# 6
Density functional theory data (PBE-GGA) for crystalline CaLaSe2 at its relaxed geometry.

Formation energy (no corrections) = -750 meV per atom
DFT total energy = -4.225 eV per atom
Total magnetic moment = 0.03 μB per formula unit
V = 24.78 Å³/atom

Structure (POSCAR):
```
CaLaSe2
1.0
7.346 0.000 0.000
0.000 7.346 0.000
0.000 0.000 7.346
Ca La Se
4 4 8
Cartesian
0.000 0.000 0.000
0.000 3.673 3.673
3.673 0.000 3.673
3.673 3.673 0.000
1.837 1.837 5.510
1.837 5.510 1.837
5.510 1.837 1.837
5.510 5.510 5.510
0.000 0.000 3.673
0.000 3.673 0.000
1.837 1.837 1.837
1.837 5.510 5.510
3.673 0.000 0.000
3.673 3.673 3.673
5.510 1.837 5.510
5.510 5.510 1.837
```